1.
HfOs2: optimized geometry, PBE-GGA.

```
HfOs2
1.0
6.699 0.000 0.000
0.000 2.937 0.000
0.000 0.000 10.622
Os Hf
8 4
direct
0.972 0.250 0.400
0.344 0.250 0.511
0.844 0.250 0.989
0.472 0.250 0.100
0.656 0.750 0.489
0.528 0.750 0.900
0.156 0.750 0.011
0.028 0.750 0.600
0.783 0.750 0.212
0.283 0.750 0.288
0.217 0.250 0.788
0.717 0.250 0.712
```

=====

2.
HfOs: optimized geometry, PBE-GGA.

```
HfOs
1.0
3.192 -0.392 2.020
-0.174 -1.103 3.630
1.206 -3.462 0.993
Os Hf
1 1
direct
0.500 0.500 0.500
0.000 0.000 0.000
```

=====

3.
HfOs: optimized geometry, PBE-GGA.

```
HfOs
1.0
0.000 2.959 2.959
2.959 0.000 2.959
2.959 2.959 0.000
Os Hf
1 1
direct
0.250 0.250 0.250
0.000 0.000 0.000
```

=====

4.
HfOs: optimized geometry, PBE-GGA.

```
HfOs
1.0
3.073 0.000 0.000
-1.537 2.662 0.000
0.000 0.000 4.300
Os Hf
1 1
direct
0.333 0.667 0.250
0.667 0.333 0.750
```

=====

5.
HfOs3: optimized geometry, PBE-GGA.

```
HfOs3
1.0
4.471 0.000 0.000
0.000 5.576 0.000
0.000 0.000 5.065
Os Hf
6 2
direct
0.000 0.500 0.812
0.000 0.261 0.356
0.500 0.000 0.188
0.500 0.239 0.644
0.500 0.761 0.644
0.000 0.739 0.356
0.500 0.500 0.126
0.000 0.000 0.874
```

=====

6.
Hf5Os: optimized geometry, PBE-GGA.

```
Hf5Os
1.0
5.366 0.000 0.000
-2.683 4.647 0.000
0.000 0.000 4.893
Hf Os
5 1
direct
0.000 0.685 0.000
0.667 0.333 0.500
0.315 0.315 0.000
0.685 0.000 0.000
0.333 0.667 0.500
0.000 0.000 0.500
```

=====

Number 1: energy relative to the elements 0.01 eV per atom, raw total energy -129.57 eV/cell. Number 2: energy relative to the elements 0.30 eV per atom, raw total energy -20.58 eV/cell. Number 3: energy relative to the elements 1.24 eV per atom, raw total energy -18.71 eV/cell. Number 4: energy relative to the elements -0.01 eV per atom, raw total energy -21.20 eV/cell. Number 5: energy relative to the elements -0.10 eV per atom, raw total energy -88.03 eV/cell. Number 6: energy relative to the elements 0.07 eV per atom, raw total energy -60.57 eV/cell.